--- i ---
The following is a PBEsol calculation of crystalline CoSiBr2 at its relaxed geometry, from the Alexandria database.

## Properties
Symmetry: P4mm
Spin magnetization (μB per cell): 0.5

abc: 2.9649 2.9649 8.7968
angles: 90.00 90.00 90.00
Sites, in units of the cell vectors:
Co1 0.0000 0.0000 0.0000
Si1 0.5000 0.5000 0.8899
Br1 0.0000 0.0000 0.2640
Br2 0.5000 0.5000 0.6268

***

--- ii ---
The following is a PBEsol calculation of crystalline CoSiBr2 at its relaxed geometry, from the Alexandria database.

## Properties
Symmetry: Immm
Spin magnetization (μB per cell): 3.0

abc: 3.2905 3.5725 14.2078
angles: 90.00 90.00 90.00
Sites, in units of the cell vectors:
Co1 0.0000 0.0000 0.0000
Co2 0.5000 0.5000 0.5000
Si1 0.0000 0.0000 0.5000
Si2 0.5000 0.5000 0.0000
Br1 0.0000 0.5000 0.3548
Br2 0.0000 0.5000 0.6452
Br3 0.5000 0.0000 0.1452
Br4 0.5000 0.0000 0.8548

***

Quick one: most stable of them? i

***

--- i ---
The following is a PBEsol calculation of crystalline CoSiBr2 at its relaxed geometry, from the Alexandria database.

## Properties
Symmetry: R-3m
Spin magnetization (μB per cell): 5.2

abc: 3.2971 3.2971 26.3180
angles: 90.00 90.00 120.00
Sites, in units of the cell vectors:
Co1 0.0000 0.0000 0.0000
Co2 0.3333 0.6667 0.6667
Co3 0.6667 0.3333 0.3333
Si1 0.0000 0.0000 0.5000
Si2 0.3333 0.6667 0.1667
Si3 0.6667 0.3333 0.8333
Br1 0.0000 0.0000 0.0852
Br2 0.0000 0.0000 0.9148
Br3 0.3333 0.6667 0.5815
Br4 0.3333 0.6667 0.7519
Br5 0.6667 0.3333 0.2481
Br6 0.6667 0.3333 0.4185

***

--- ii ---
The following is a PBEsol calculation of crystalline CoSiBr2 at its relaxed geometry, from the Alexandria database.

## Properties
Symmetry: Cmmm
Spin magnetization (μB per cell): 3.7

abc: 3.2483 5.9295 8.4417
angles: 90.00 90.00 90.00
Sites, in units of the cell vectors:
Co1 0.0000 0.0000 0.0000
Co2 0.5000 0.5000 0.0000
Si1 0.0000 0.0000 0.5000
Si2 0.5000 0.5000 0.5000
Br1 0.0000 0.5000 0.2094
Br2 0.0000 0.5000 0.7906
Br3 0.5000 0.0000 0.2094
Br4 0.5000 0.0000 0.7906

***

Quick one: most stable of them? ii

***

--- i ---
The following is a PBEsol calculation of crystalline CoSi2Br at its relaxed geometry, from the Alexandria database.

## Properties
Symmetry: P4/mmm
Spin magnetization (μB per cell): 0.0

abc: 4.6332 4.6332 2.8171
angles: 90.00 90.00 90.00
Sites, in units of the cell vectors:
Co1 0.0000 0.0000 0.0000
Si1 0.0000 0.5000 0.5000
Si2 0.5000 0.0000 0.5000
Br1 0.5000 0.5000 0.0000

***

--- ii ---
The following is a PBEsol calculation of crystalline CoSi2Br at its relaxed geometry, from the Alexandria database.

## Properties
Symmetry: P4mm
Spin magnetization (μB per cell): 0.0

abc: 3.0515 3.0515 7.0412
angles: 90.00 90.00 90.00
Sites, in units of the cell vectors:
Co1 0.0000 0.0000 0.0000
Si1 0.0000 0.0000 0.3402
Si2 0.5000 0.5000 0.1327
Br1 0.5000 0.5000 0.7476

***

Quick one: most stable of them? ii

***

--- i ---
The following is a PBEsol calculation of crystalline Co2SiBr at its relaxed geometry, from the Alexandria database.

## Properties
Symmetry: P4mm
Spin magnetization (μB per cell): 0.0

abc: 3.1760 3.1760 5.3567
angles: 90.00 90.00 90.00
Sites, in units of the cell vectors:
Co1 0.0000 0.0000 0.0000
Co2 0.5000 0.5000 0.2915
Si1 0.0000 0.0000 0.4233
Br1 0.5000 0.5000 0.8608

***

--- ii ---
The following is a PBEsol calculation of crystalline Co2SiBr at its relaxed geometry, from the Alexandria database.

## Properties
Symmetry: P4mm
Spin magnetization (μB per cell): 0.0

abc: 3.6106 3.6106 5.2700
angles: 90.00 90.00 90.00
Sites, in units of the cell vectors:
Co1 0.0000 0.5000 0.0000
Co2 0.5000 0.0000 0.0000
Si1 0.0000 0.0000 0.2408
Br1 0.5000 0.5000 0.7269

***

--- iii ---
The following is a PBEsol calculation of crystalline Co2SiBr at its relaxed geometry, from the Alexandria database.

## Properties
Symmetry: Pmmm
Spin magnetization (μB per cell): 0.0

abc: 2.8005 2.8803 6.5897
angles: 90.00 90.00 90.00
Sites, in units of the cell vectors:
Co1 0.0000 0.0000 0.1881
Co2 0.0000 0.0000 0.8119
Si1 0.5000 0.5000 0.0000
Br1 0.5000 0.0000 0.5000

***

--- iv ---
The following is a PBEsol calculation of crystalline Co2SiBr at its relaxed geometry, from the Alexandria database.

## Properties
Symmetry: Cmmm
Spin magnetization (μB per cell): 1.5

abc: 5.8827 5.9401 2.8598
angles: 90.00 90.00 90.00
Sites, in units of the cell vectors:
Co1 0.2500 0.2500 0.0000
Co2 0.2500 0.7500 0.0000
Co3 0.7500 0.2500 0.0000
Co4 0.7500 0.7500 0.0000
Si1 0.0000 0.0000 0.5000
Si2 0.5000 0.5000 0.5000
Br1 0.0000 0.5000 0.5000
Br2 0.5000 0.0000 0.5000

***

Quick one: most stable of them? iii